This record from Alexandria via LeMat-Bulk describes CsKCrTe3 after structural relaxation. The functional is GGA-PBE.

Cell: 9.204 9.204 7.595 Å, 90.00 90.00 124.13°
Fractional coordinates of all 12 atoms:
Cs (0.200, 0.800, 0.750)
Cs (0.800, 0.200, 0.250)
K (0.414, 0.586, 0.250)
K (0.586, 0.414, 0.750)
Cr (0.050, 0.950, 0.250)
Cr (0.950, 0.050, 0.750)
Te (0.200, 0.200, 0.000)
Te (0.200, 0.200, 0.500)
Te (0.206, 0.794, 0.250)
Te (0.794, 0.206, 0.750)
Te (0.800, 0.800, 0.000)
Te (0.800, 0.800, 0.500)

formation energy without anion corrections = -564 meV per atom

This record from Alexandria via LeMat-Bulk describes Pm2Ni3Ru after structural relaxation. The functional is GGA-PBE.

Cell: 5.270 5.270 5.270 Å, 58.58 58.58 58.58°
Fractional coordinates of all 6 atoms:
Pm (0.125, 0.125, 0.125)
Pm (0.875, 0.875, 0.875)
Ni (0.000, 0.500, 0.500)
Ni (0.500, 0.000, 0.500)
Ni (0.500, 0.500, 0.000)
Ru (0.500, 0.500, 0.500)

energy above the most stable polymorph in this dataset = 0 meV/atom
DFT formation energy = -0.30 eV per atom

This record from Alexandria via LeMat-Bulk describes PmNd4SmEr2 after structural relaxation. The functional is GGA-PBE.

Cell: 6.277 3.638 11.981 Å, 90.00 100.15 90.00°
Fractional coordinates of all 8 atoms:
Pm (0.000, 0.000, 0.000)
Nd (0.251, 0.000, 0.751)
Nd (0.252, 0.500, 0.252)
Nd (0.748, 0.500, 0.748)
Nd (0.749, 0.000, 0.249)
Sm (0.000, 0.500, 0.500)
Er (0.500, 0.000, 0.500)
Er (0.500, 0.500, 0.000)

DFT formation energy = 0.02 eV per atom

This record from Alexandria via LeMat-Bulk describes AlBi3W after structural relaxation. The functional is GGA-PBE.

Cell: 5.435 5.435 5.435 Å, 90.00 90.00 90.00°
Fractional coordinates of all 5 atoms:
Al (0.000, 0.000, 0.000)
Bi (0.000, 0.500, 0.500)
Bi (0.500, 0.000, 0.500)
Bi (0.500, 0.500, 0.000)
W (0.500, 0.500, 0.500)

energy above the most stable polymorph in this dataset = 0 meV/atom
DFT formation energy = 0.91 eV per atom